Record 1
The following is a PBE-GGA calculation of crystalline In2RhIO at its relaxed geometry, from the Alexandria database.

It has space group P4/mmm (No. 123), with a = 5.639 Å, b = 5.639 Å, c = 3.843 Å, α = 90.00°, β = 90.00° and γ = 90.00°. The distinct sites, in fractional coordinates, are In at (0.000, 0.500, 0.000), Rh at (0.000, 0.000, 0.000), I at (0.500, 0.500, 0.500) and O at (0.000, 0.000, 0.500).

For the total moment, the calculation gives 0.00 μB per atom. Its energy is -4.231 eV per atom. Its uncorrected formation energy is -175 kJ/mol of formula units.


Record 2
The following is a PBE-GGA calculation of crystalline In2RhIO8 at its relaxed geometry, from the Alexandria database.

It has space group P2/m (No. 10), with a = 4.904 Å, b = 6.415 Å, c = 4.920 Å, α = 90.00°, β = 92.86° and γ = 90.00°. The distinct sites, in fractional coordinates, are In at (0.000, 0.244, 0.000), Rh at (0.500, 0.000, 0.500), I at (0.500, 0.500, 0.500), O at (0.207, 0.500, 0.205), O at (0.209, 0.000, 0.206) and O at (0.319, 0.254, 0.678).

For the total moment, the calculation gives 0.05 μB per atom. Its energy is -5.341 eV per atom. Its uncorrected formation energy is -969 kJ/mol of formula units.


Record 3
The following is a PBE-GGA calculation of crystalline InRuI2O at its relaxed geometry, from the Alexandria database.

It has space group P4/mmm (No. 123), with a = 5.925 Å, b = 5.925 Å, c = 3.925 Å, α = 90.00°, β = 90.00° and γ = 90.00°. The distinct sites, in fractional coordinates, are In at (0.000, 0.000, 0.000), Ru at (0.500, 0.500, 0.500), I at (0.000, 0.500, 0.000) and O at (0.000, 0.000, 0.500).

For the total moment, the calculation gives 0.62 μB per atom. Its energy is -3.582 eV per atom. Its uncorrected formation energy is 209 kJ/mol of formula units. The energy above the most stable polymorph in this dataset is 0.714 eV/atom.


Record 4
The following is a PBE-GGA calculation of crystalline InRuI2O at its relaxed geometry, from the Alexandria database.

It has space group P4/mmm (No. 123), with a = 5.772 Å, b = 5.772 Å, c = 3.786 Å, α = 90.00°, β = 90.00° and γ = 90.00°. The distinct sites, in fractional coordinates, are In at (0.000, 0.000, 0.000), Ru at (0.500, 0.500, 0.500), I at (0.000, 0.500, 0.500) and O at (0.500, 0.500, 0.000).

For the total moment, the calculation gives 0.08 μB per atom. Its energy is -4.296 eV per atom. Its uncorrected formation energy is -136 kJ/mol of formula units. The energy above the most stable polymorph in this dataset is 0.000 eV/atom.


Record 5
The following is a PBE-GGA calculation of crystalline InSbIO2 at its relaxed geometry, from the Alexandria database.

It has space group P4/mmm (No. 123), with a = 4.392 Å, b = 4.392 Å, c = 5.782 Å, α = 90.00°, β = 90.00° and γ = 90.00°. The distinct sites, in fractional coordinates, are In at (0.000, 0.000, 0.000), Sb at (0.500, 0.500, 0.500), I at (0.000, 0.000, 0.500) and O at (0.000, 0.500, 0.000).

For the total moment, the calculation gives 0.00 μB per atom. Its energy is -3.689 eV per atom. Its uncorrected formation energy is -11 kJ/mol of formula units.


Record 6
The following is a PBE-GGA calculation of crystalline InSbIO2 at its relaxed geometry, from the Alexandria database.

It has space group P4/mmm (No. 123), with a = 4.268 Å, b = 4.268 Å, c = 6.298 Å, α = 90.00°, β = 90.00° and γ = 90.00°. The distinct sites, in fractional coordinates, are In at (0.000, 0.000, 0.000), Sb at (0.500, 0.500, 0.500), I at (0.500, 0.500, 0.000) and O at (0.000, 0.500, 0.500).

For the total moment, the calculation gives 0.00 μB per atom. Its energy is -4.085 eV per atom. Its uncorrected formation energy is -202 kJ/mol of formula units.


Record 7
The following is a PBE-GGA calculation of crystalline ScInI2O at its relaxed geometry, from the Alexandria database.

It has space group P4/mmm (No. 123), with a = 6.091 Å, b = 6.091 Å, c = 3.966 Å, α = 90.00°, β = 90.00° and γ = 90.00°. The distinct sites, in fractional coordinates, are Sc at (0.000, 0.000, 0.000), In at (0.500, 0.500, 0.500), I at (0.000, 0.500, 0.500) and O at (0.500, 0.500, 0.000).

For the total moment, the calculation gives 0.29 μB per atom. Its energy is -3.783 eV per atom. Its uncorrected formation energy is -172 kJ/mol of formula units.


Record 8
The following is a PBE-GGA calculation of crystalline ScIn2IO8 at its relaxed geometry, from the Alexandria database.

It has space group Cmmm (No. 65), with a = 6.748 Å, b = 7.040 Å, c = 6.533 Å, α = 90.00°, β = 90.00° and γ = 90.00°. The distinct sites, in fractional coordinates, are Sc at (0.000, 0.000, 0.000), In at (0.000, 0.500, 0.246), I at (0.000, 0.000, 0.500), O at (0.000, 0.179, 0.281), O at (0.202, 0.500, 0.000) and O at (0.214, 0.500, 0.500).

For the total moment, the calculation gives 0.00 μB per atom. Its energy is -5.868 eV per atom. Its uncorrected formation energy is -1678 kJ/mol of formula units.